Crystalline Hf3SF at its relaxed geometry. Source: Alexandria, functional PBEsol.

The uncorrected formation energy is -28.35 kJ/mol of atoms. The value obtained for the uncorrected energy is -7.858 eV/atom.

It has space group Pm-3m (No. 221), with a = 4.388 Å, b = 4.388 Å, c = 4.388 Å, α = 90.00°, β = 90.00° and γ = 90.00°. The inequivalent atoms are Hf at (0.000, 0.000, 0.500), S at (0.500, 0.500, 0.500) and F at (0.000, 0.000, 0.000).

---

Crystalline SrHfSF2 at its relaxed geometry. Source: Alexandria, functional PBEsol.

The uncorrected formation energy is -223.32 kJ/mol of atoms. The value obtained for the uncorrected energy is -6.431 eV/atom.

It has space group P4/mmm (No. 123), with a = 4.255 Å, b = 4.255 Å, c = 4.991 Å, α = 90.00°, β = 90.00° and γ = 90.00°. The inequivalent atoms are Sr at (0.000, 0.000, 0.000), Hf at (0.500, 0.500, 0.500), S at (0.500, 0.500, 0.000) and F at (0.000, 0.500, 0.500).

---

Crystalline HfSbF2 at its relaxed geometry. Source: Alexandria, functional PBEsol.

The uncorrected formation energy is -111.40 kJ/mol of atoms. The value obtained for the uncorrected energy is -5.883 eV/atom.

It has space group Fm-3m (No. 225), with a = 6.225 Å, b = 6.225 Å, c = 6.225 Å, α = 90.00°, β = 90.00° and γ = 90.00°. The inequivalent atoms are Hf at (0.000, 0.000, 0.000), Sb at (0.000, 0.000, 0.500) and F at (0.250, 0.250, 0.250).

---

Crystalline HfTlSbF2 at its relaxed geometry. Source: Alexandria, functional PBEsol.

The uncorrected formation energy is -60.58 kJ/mol of atoms. The value obtained for the uncorrected energy is -4.937 eV/atom.

It has space group P4/mmm (No. 123), with a = 4.272 Å, b = 4.272 Å, c = 6.221 Å, α = 90.00°, β = 90.00° and γ = 90.00°. The inequivalent atoms are Hf at (0.000, 0.000, 0.000), Tl at (0.000, 0.000, 0.500), Sb at (0.500, 0.500, 0.000) and F at (0.000, 0.500, 0.500).

---

Crystalline Hf3ScF at its relaxed geometry. Source: Alexandria, functional PBEsol.

The uncorrected formation energy is -52.87 kJ/mol of atoms. The value obtained for the uncorrected energy is -8.556 eV/atom.

It has space group Pm-3m (No. 221), with a = 4.532 Å, b = 4.532 Å, c = 4.532 Å, α = 90.00°, β = 90.00° and γ = 90.00°. The inequivalent atoms are Hf at (0.000, 0.000, 0.500), Sc at (0.500, 0.500, 0.500) and F at (0.000, 0.000, 0.000).

---

Crystalline HfScF2 at its relaxed geometry. Source: Alexandria, functional PBEsol.

The uncorrected formation energy is -102.66 kJ/mol of atoms. The value obtained for the uncorrected energy is -6.305 eV/atom.

It has space group Fm-3m (No. 225), with a = 6.096 Å, b = 6.096 Å, c = 6.096 Å, α = 90.00°, β = 90.00° and γ = 90.00°. The inequivalent atoms are Hf at (0.000, 0.000, 0.000), Sc at (0.000, 0.000, 0.500) and F at (0.250, 0.250, 0.250).

---

Crystalline HfSeF3 at its relaxed geometry. Source: Alexandria, functional PBEsol.

The uncorrected formation energy is -22.50 kJ/mol of atoms. The value obtained for the uncorrected energy is -4.260 eV/atom.

It has space group Pm-3m (No. 221), with a = 4.397 Å, b = 4.397 Å, c = 4.397 Å, α = 90.00°, β = 90.00° and γ = 90.00°. The inequivalent atoms are Hf at (0.000, 0.000, 0.000), Se at (0.500, 0.500, 0.500) and F at (0.000, 0.500, 0.500).

---

Crystalline HfSiF3 at its relaxed geometry. Source: Alexandria, functional PBEsol.

The uncorrected formation energy is -170.37 kJ/mol of atoms. The offset from the most stable computed form comes out at 0 meV/atom. The value obtained for the uncorrected energy is -6.172 eV/atom.

It has space group Pm-3m (No. 221), with a = 4.202 Å, b = 4.202 Å, c = 4.202 Å, α = 90.00°, β = 90.00° and γ = 90.00°. The inequivalent atoms are Hf at (0.000, 0.000, 0.000), Si at (0.500, 0.500, 0.500) and F at (0.000, 0.000, 0.500).

---

Crystalline HfSiF3 at its relaxed geometry. Source: Alexandria, functional PBEsol.

The uncorrected formation energy is -72.24 kJ/mol of atoms. The offset from the most stable computed form comes out at 1017 meV/atom. The value obtained for the uncorrected energy is -5.155 eV/atom.

It has space group Pm-3m (No. 221), with a = 4.226 Å, b = 4.226 Å, c = 4.226 Å, α = 90.00°, β = 90.00° and γ = 90.00°. The inequivalent atoms are Hf at (0.000, 0.000, 0.000), Si at (0.500, 0.500, 0.500) and F at (0.000, 0.500, 0.500).

---

Crystalline HfSnF2 at its relaxed geometry. Source: Alexandria, functional PBEsol.

The uncorrected formation energy is -101.11 kJ/mol of atoms. The value obtained for the uncorrected energy is -5.702 eV/atom.

It has space group Fm-3m (No. 225), with a = 6.238 Å, b = 6.238 Å, c = 6.238 Å, α = 90.00°, β = 90.00° and γ = 90.00°. The inequivalent atoms are Hf at (0.000, 0.000, 0.000), Sn at (0.000, 0.000, 0.500) and F at (0.250, 0.250, 0.250).

---

Crystalline HfTaF2 at its relaxed geometry. Source: Alexandria, functional PBEsol.

The uncorrected formation energy is -39.65 kJ/mol of atoms. The value obtained for the uncorrected energy is -7.138 eV/atom.

It has space group Fm-3m (No. 225), with a = 6.069 Å, b = 6.069 Å, c = 6.069 Å, α = 90.00°, β = 90.00° and γ = 90.00°. The inequivalent atoms are Hf at (0.000, 0.000, 0.000), Ta at (0.000, 0.000, 0.500) and F at (0.250, 0.250, 0.250).

---

Crystalline Hf3TcF at its relaxed geometry. Source: Alexandria, functional PBEsol.

The uncorrected formation energy is -35.57 kJ/mol of atoms. The value obtained for the uncorrected energy is -9.309 eV/atom.

It has space group Pm-3m (No. 221), with a = 4.374 Å, b = 4.374 Å, c = 4.374 Å, α = 90.00°, β = 90.00° and γ = 90.00°. The inequivalent atoms are Hf at (0.000, 0.000, 0.500), Tc at (0.500, 0.500, 0.500) and F at (0.000, 0.000, 0.000).

---

Crystalline Hf3TeF at its relaxed geometry. Source: Alexandria, functional PBEsol.

The uncorrected formation energy is 104.21 kJ/mol of atoms. The value obtained for the uncorrected energy is -6.312 eV/atom.

It has space group Pm-3m (No. 221), with a = 5.208 Å, b = 5.208 Å, c = 5.208 Å, α = 90.00°, β = 90.00° and γ = 90.00°. The inequivalent atoms are Hf at (0.000, 0.000, 0.500), Te at (0.000, 0.000, 0.000) and F at (0.500, 0.500, 0.500).

---

Crystalline Hf2TeF at its relaxed geometry. Source: Alexandria, functional PBEsol.

The uncorrected formation energy is -72.23 kJ/mol of atoms. The value obtained for the uncorrected energy is -7.364 eV/atom.

It has space group Fm-3m (No. 225), with a = 6.599 Å, b = 6.599 Å, c = 6.599 Å, α = 90.00°, β = 90.00° and γ = 90.00°. The inequivalent atoms are Hf at (0.250, 0.250, 0.250), Te at (0.000, 0.000, 0.000) and F at (0.000, 0.000, 0.500).

---

Crystalline HfTi3F at its relaxed geometry. Source: Alexandria, functional PBEsol.

The uncorrected formation energy is 119.12 kJ/mol of atoms. The value obtained for the uncorrected energy is -6.245 eV/atom.

It has space group Pm-3m (No. 221), with a = 4.858 Å, b = 4.858 Å, c = 4.858 Å, α = 90.00°, β = 90.00° and γ = 90.00°. The inequivalent atoms are Hf at (0.000, 0.000, 0.000), Ti at (0.000, 0.000, 0.500) and F at (0.500, 0.500, 0.500).

---

Crystalline YHf2TiF at its relaxed geometry. Source: Alexandria, functional PBEsol.

The uncorrected formation energy is 7.37 kJ/mol of atoms. The value obtained for the uncorrected energy is -7.539 eV/atom.

It has space group P4/mmm (No. 123), with a = 5.319 Å, b = 5.319 Å, c = 3.856 Å, α = 90.00°, β = 90.00° and γ = 90.00°. The inequivalent atoms are Y at (0.000, 0.000, 0.000), Hf at (0.000, 0.500, 0.500), Ti at (0.500, 0.500, 0.500) and F at (0.500, 0.500, 0.000).

---

Crystalline HfVF6 at its relaxed geometry. Source: Alexandria, functional PBEsol.

The uncorrected formation energy is -320.31 kJ/mol of atoms. The value obtained for the uncorrected energy is -7.283 eV/atom.

It has space group Fm-3m (No. 225), with a = 8.052 Å, b = 8.052 Å, c = 8.052 Å, α = 90.00°, β = 90.00° and γ = 90.00°. The inequivalent atoms are Hf at (0.000, 0.000, 0.000), V at (0.000, 0.000, 0.500) and F at (0.000, 0.000, 0.247).

---

Crystalline YHfF2 at its relaxed geometry. Source: Alexandria, functional PBEsol.

The uncorrected formation energy is -179.64 kJ/mol of atoms. The value obtained for the uncorrected energy is -7.157 eV/atom.

It has space group I-42d (No. 122), with a = 5.249 Å, b = 5.249 Å, c = 10.298 Å, α = 90.00°, β = 90.00° and γ = 90.00°. The inequivalent atoms are Y at (0.000, 0.000, 0.000), Hf at (0.000, 0.000, 0.500) and F at (0.246, 0.250, 0.125).

---

Crystalline HfZnF2 at its relaxed geometry. Source: Alexandria, functional PBEsol.

The uncorrected formation energy is -104.62 kJ/mol of atoms. The value obtained for the uncorrected energy is -5.069 eV/atom.

It has space group Fm-3m (No. 225), with a = 5.897 Å, b = 5.897 Å, c = 5.897 Å, α = 90.00°, β = 90.00° and γ = 90.00°. The inequivalent atoms are Hf at (0.000, 0.000, 0.000), Zn at (0.000, 0.000, 0.500) and F at (0.250, 0.250, 0.250).

---

Crystalline HfZrF3 at its relaxed geometry. Source: Alexandria, functional PBEsol.

The uncorrected formation energy is -139.73 kJ/mol of atoms. The offset from the most stable computed form comes out at 99 meV/atom. The value obtained for the uncorrected energy is -6.523 eV/atom.

It has space group Pm-3m (No. 221), with a = 4.330 Å, b = 4.330 Å, c = 4.330 Å, α = 90.00°, β = 90.00° and γ = 90.00°. The inequivalent atoms are Hf at (0.000, 0.000, 0.000), Zr at (0.500, 0.500, 0.500) and F at (0.000, 0.500, 0.500).

---

Number 1: size of the total moment 0.0016 μB per atom. Number 2: size of the total moment 0.0004 μB per atom. Number 3: size of the total moment 0.0000 μB per atom. Number 4: size of the total moment 0.0000 μB per atom. Number 5: size of the total moment 0.0001 μB per atom. Number 6: size of the total moment 0.0001 μB per atom. Number 7: size of the total moment 0.3499 μB per atom. Number 8: size of the total moment 0.3067 μB per atom. Number 9: size of the total moment 0.3135 μB per atom. Number 10: size of the total moment 0.0000 μB per atom. Number 11: size of the total moment 0.0001 μB per atom. Number 12: size of the total moment 0.0001 μB per atom. Number 13: size of the total moment 0.0001 μB per atom. Number 14: size of the total moment 0.0000 μB per atom. Number 15: size of the total moment 0.5354 μB per atom. Number 16: size of the total moment 0.0005 μB per atom. Number 17: size of the total moment 0.3750 μB per atom. Number 18: size of the total moment 0.0001 μB per atom. Number 19: size of the total moment 0.0024 μB per atom. Number 20: size of the total moment 0.7708 μB per atom.